# RbNaTc2Ir (SCAN, PBEsol geometry)
# Formation enthalpy at 0 K, eV per atom: 3.0269
# Volume, A^3/atom: 19.13
# Space-group type: P4/mmm
# DOS at the Fermi energy, states/eV per cell: 4.98
# E_tot, eV per atom: -30.2078
data_RbNaTc2Ir
_chemical_formula_sum 'Rb1 Na1 Tc2 Ir1'
_cell_length_a 4.603
_cell_length_b 4.603
_cell_length_c 4.513
_cell_angle_alpha 90.00
_cell_angle_beta 90.00
_cell_angle_gamma 90.00
_symmetry_space_group_name_H-M 'P 1'
_symmetry_Int_Tables_number 1
loop_
_symmetry_equiv_pos_as_xyz
'x,y,z'
loop_
_atom_site_label
_atom_site_type_symbol
_atom_site_fract_x
_atom_site_fract_y
_atom_site_fract_z
Rb1 Rb 0.000 0.000 0.000
Na1 Na 0.000 0.000 0.500
Tc1 Tc 0.000 0.500 0.000
Tc2 Tc 0.500 0.000 0.000
Ir1 Ir 0.500 0.500 0.500

# Na3ReIr (SCAN, PBEsol geometry)
# Formation enthalpy at 0 K, eV per atom: 1.9941
# Volume, A^3/atom: 29.31
# Space-group type: Pm-3m
# DOS at the Fermi energy, states/eV per cell: 3.29
# E_tot, eV per atom: -28.9742
data_Na3ReIr
_chemical_formula_sum 'Na3 Re1 Ir1'
_cell_length_a 5.272
_cell_length_b 5.272
_cell_length_c 5.272
_cell_angle_alpha 90.00
_cell_angle_beta 90.00
_cell_angle_gamma 90.00
_symmetry_space_group_name_H-M 'P 1'
_symmetry_Int_Tables_number 1
loop_
_symmetry_equiv_pos_as_xyz
'x,y,z'
loop_
_atom_site_label
_atom_site_type_symbol
_atom_site_fract_x
_atom_site_fract_y
_atom_site_fract_z
Na1 Na 0.000 0.000 0.500
Na2 Na 0.000 0.500 0.000
Na3 Na 0.500 0.000 0.000
Re1 Re 0.500 0.500 0.500
Ir1 Ir 0.000 0.000 0.000

# Na2ReIr (SCAN, PBEsol geometry)
# Formation enthalpy at 0 K, eV per atom: 1.3420
# Volume, A^3/atom: 20.45
# Space-group type: I-42d
# DOS at the Fermi energy, states/eV per cell: 3.84
# E_tot, eV per atom: -36.3146
data_Na2ReIr
_chemical_formula_sum 'Na4 Re2 Ir2'
_cell_length_a 6.296
_cell_length_b 6.296
_cell_length_c 6.296
_cell_angle_alpha 98.51
_cell_angle_beta 98.51
_cell_angle_gamma 134.76
_symmetry_space_group_name_H-M 'P 1'
_symmetry_Int_Tables_number 1
loop_
_symmetry_equiv_pos_as_xyz
'x,y,z'
loop_
_atom_site_label
_atom_site_type_symbol
_atom_site_fract_x
_atom_site_fract_y
_atom_site_fract_z
Na1 Na 0.097 0.625 0.972
Na2 Na 0.375 0.347 0.472
Na3 Na 0.653 0.125 0.028
Na4 Na 0.875 0.903 0.528
Re1 Re 0.250 0.750 0.500
Re2 Re 0.500 0.500 0.000
Ir1 Ir 0.000 0.000 0.000
Ir2 Ir 0.750 0.250 0.500

# NaIr3Rh (SCAN, PBEsol geometry)
# Formation enthalpy at 0 K, eV per atom: 2.6357
# Volume, A^3/atom: 16.18
# Space-group type: Pm-3m
# DOS at the Fermi energy, states/eV per cell: 5.80
# E_tot, eV per atom: -47.6211
data_NaIr3Rh
_chemical_formula_sum 'Na1 Ir3 Rh1'
_cell_length_a 4.325
_cell_length_b 4.325
_cell_length_c 4.325
_cell_angle_alpha 90.00
_cell_angle_beta 90.00
_cell_angle_gamma 90.00
_symmetry_space_group_name_H-M 'P 1'
_symmetry_Int_Tables_number 1
loop_
_symmetry_equiv_pos_as_xyz
'x,y,z'
loop_
_atom_site_label
_atom_site_type_symbol
_atom_site_fract_x
_atom_site_fract_y
_atom_site_fract_z
Na1 Na 0.000 0.000 0.000
Ir1 Ir 0.000 0.000 0.500
Ir2 Ir 0.000 0.500 0.000
Ir3 Ir 0.500 0.000 0.000
Rh1 Rh 0.500 0.500 0.500

# Na2IrRh (SCAN, PBEsol geometry)
# Formation enthalpy at 0 K, eV per atom: 0.9842
# Volume, A^3/atom: 16.19
# Space-group type: Fm-3m
# DOS at the Fermi energy, states/eV per cell: 4.82
# E_tot, eV per atom: -27.3409
data_Na2IrRh
_chemical_formula_sum 'Na2 Ir1 Rh1'
_cell_length_a 4.508
_cell_length_b 4.508
_cell_length_c 4.508
_cell_angle_alpha 60.00
_cell_angle_beta 60.00
_cell_angle_gamma 60.00
_symmetry_space_group_name_H-M 'P 1'
_symmetry_Int_Tables_number 1
loop_
_symmetry_equiv_pos_as_xyz
'x,y,z'
loop_
_atom_site_label
_atom_site_type_symbol
_atom_site_fract_x
_atom_site_fract_y
_atom_site_fract_z
Na1 Na 0.250 0.250 0.250
Na2 Na 0.750 0.750 0.750
Ir1 Ir 0.000 0.000 0.000
Rh1 Rh 0.500 0.500 0.500

# NaIr2Rh (SCAN, PBEsol geometry)
# Formation enthalpy at 0 K, eV per atom: 0.6584
# Volume, A^3/atom: 14.39
# Space-group type: Fm-3m
# DOS at the Fermi energy, states/eV per cell: 2.70
# E_tot, eV per atom: -44.3878
data_NaIr2Rh
_chemical_formula_sum 'Na1 Ir2 Rh1'
_cell_length_a 4.334
_cell_length_b 4.334
_cell_length_c 4.334
_cell_angle_alpha 60.00
_cell_angle_beta 60.00
_cell_angle_gamma 60.00
_symmetry_space_group_name_H-M 'P 1'
_symmetry_Int_Tables_number 1
loop_
_symmetry_equiv_pos_as_xyz
'x,y,z'
loop_
_atom_site_label
_atom_site_type_symbol
_atom_site_fract_x
_atom_site_fract_y
_atom_site_fract_z
Na1 Na 0.000 0.000 0.000
Ir1 Ir 0.250 0.250 0.250
Ir2 Ir 0.750 0.750 0.750
Rh1 Rh 0.500 0.500 0.500

# NaIr2Ru (SCAN, PBEsol geometry)
# Formation enthalpy at 0 K, eV per atom: 0.6479
# Volume, A^3/atom: 14.40
# Space-group type: Fm-3m
# DOS at the Fermi energy, states/eV per cell: 3.70
# E_tot, eV per atom: -44.6619
data_NaIr2Ru
_chemical_formula_sum 'Na1 Ir2 Ru1'
_cell_length_a 4.335
_cell_length_b 4.335
_cell_length_c 4.335
_cell_angle_alpha 60.00
_cell_angle_beta 60.00
_cell_angle_gamma 60.00
_symmetry_space_group_name_H-M 'P 1'
_symmetry_Int_Tables_number 1
loop_
_symmetry_equiv_pos_as_xyz
'x,y,z'
loop_
_atom_site_label
_atom_site_type_symbol
_atom_site_fract_x
_atom_site_fract_y
_atom_site_fract_z
Na1 Na 0.000 0.000 0.000
Ir1 Ir 0.250 0.250 0.250
Ir2 Ir 0.750 0.750 0.750
Ru1 Ru 0.500 0.500 0.500

# NaSc2TaIr (SCAN, PBEsol geometry)
# Formation enthalpy at 0 K, eV per atom: 0.7558
# Volume, A^3/atom: 23.89
# Space-group type: P4/mmm
# DOS at the Fermi energy, states/eV per cell: 5.06
# E_tot, eV per atom: -33.3185
data_NaSc2TaIr
_chemical_formula_sum 'Na1 Sc2 Ta1 Ir1'
_cell_length_a 4.875
_cell_length_b 4.875
_cell_length_c 5.025
_cell_angle_alpha 90.00
_cell_angle_beta 90.00
_cell_angle_gamma 90.00
_symmetry_space_group_name_H-M 'P 1'
_symmetry_Int_Tables_number 1
loop_
_symmetry_equiv_pos_as_xyz
'x,y,z'
loop_
_atom_site_label
_atom_site_type_symbol
_atom_site_fract_x
_atom_site_fract_y
_atom_site_fract_z
Na1 Na 0.000 0.000 0.000
Sc1 Sc 0.000 0.500 0.500
Sc2 Sc 0.500 0.000 0.500
Ta1 Ta 0.500 0.500 0.000
Ir1 Ir 0.000 0.000 0.500

# NaSi2Ir2 (SCAN, PBEsol geometry)
# Volume, A^3/atom: 16.14
# Space-group type: I4/mmm
# DOS at the Fermi energy, states/eV per cell: 2.15
# E_tot, eV per atom: -33.9805
# Formation energy from raw total energies, meV/atom: -692
data_NaSi2Ir2
_chemical_formula_sum 'Na1 Si2 Ir2'
_cell_length_a 5.678
_cell_length_b 5.678
_cell_length_c 5.678
_cell_angle_alpha 138.12
_cell_angle_beta 138.12
_cell_angle_gamma 60.71
_symmetry_space_group_name_H-M 'P 1'
_symmetry_Int_Tables_number 1
loop_
_symmetry_equiv_pos_as_xyz
'x,y,z'
loop_
_atom_site_label
_atom_site_type_symbol
_atom_site_fract_x
_atom_site_fract_y
_atom_site_fract_z
Na1 Na 0.000 0.000 0.000
Si1 Si 0.375 0.375 0.000
Si2 Si 0.625 0.625 0.000
Ir1 Ir 0.250 0.750 0.500
Ir2 Ir 0.750 0.250 0.500

# Na3SiIr (SCAN, PBEsol geometry)
# Volume, A^3/atom: 29.09
# Space-group type: Pm-3m
# DOS at the Fermi energy, states/eV per cell: 5.99
# E_tot, eV per atom: -17.5103
# Formation energy from raw total energies, meV/atom: 1242
data_Na3SiIr
_chemical_formula_sum 'Na3 Si1 Ir1'
_cell_length_a 5.259
_cell_length_b 5.259
_cell_length_c 5.259
_cell_angle_alpha 90.00
_cell_angle_beta 90.00
_cell_angle_gamma 90.00
_symmetry_space_group_name_H-M 'P 1'
_symmetry_Int_Tables_number 1
loop_
_symmetry_equiv_pos_as_xyz
'x,y,z'
loop_
_atom_site_label
_atom_site_type_symbol
_atom_site_fract_x
_atom_site_fract_y
_atom_site_fract_z
Na1 Na 0.000 0.000 0.500
Na2 Na 0.000 0.500 0.000
Na3 Na 0.500 0.000 0.000
Si1 Si 0.500 0.500 0.500
Ir1 Ir 0.000 0.000 0.000

# NaSn2Ir2 (SCAN, PBEsol geometry)
# Formation enthalpy at 0 K, eV per atom: -0.1725
# Volume, A^3/atom: 18.27
# Space-group type: P4/mbm
# DOS at the Fermi energy, states/eV per cell: 3.02
# E_tot, eV per atom: -43.8236
data_NaSn2Ir2
_chemical_formula_sum 'Na2 Sn4 Ir4'
_cell_length_a 7.867
_cell_length_b 7.867
_cell_length_c 2.952
_cell_angle_alpha 90.00
_cell_angle_beta 90.00
_cell_angle_gamma 90.00
_symmetry_space_group_name_H-M 'P 1'
_symmetry_Int_Tables_number 1
loop_
_symmetry_equiv_pos_as_xyz
'x,y,z'
loop_
_atom_site_label
_atom_site_type_symbol
_atom_site_fract_x
_atom_site_fract_y
_atom_site_fract_z
Na1 Na 0.000 0.000 0.000
Na2 Na 0.500 0.500 0.000
Sn1 Sn 0.152 0.348 0.000
Sn2 Sn 0.348 0.848 0.000
Sn3 Sn 0.652 0.152 0.000
Sn4 Sn 0.848 0.652 0.000
Ir1 Ir 0.143 0.643 0.500
Ir2 Ir 0.357 0.143 0.500
Ir3 Ir 0.643 0.857 0.500
Ir4 Ir 0.857 0.357 0.500

# NaSr2Ir2 (SCAN, PBEsol geometry)
# Formation enthalpy at 0 K, eV per atom: 0.3099
# Volume, A^3/atom: 28.12
# Space-group type: I4/mmm
# DOS at the Fermi energy, states/eV per cell: 2.50
# E_tot, eV per atom: -37.8828
data_NaSr2Ir2
_chemical_formula_sum 'Na1 Sr2 Ir2'
_cell_length_a 5.919
_cell_length_b 5.919
_cell_length_c 5.919
_cell_angle_alpha 122.52
_cell_angle_beta 122.52
_cell_angle_gamma 85.69
_symmetry_space_group_name_H-M 'P 1'
_symmetry_Int_Tables_number 1
loop_
_symmetry_equiv_pos_as_xyz
'x,y,z'
loop_
_atom_site_label
_atom_site_type_symbol
_atom_site_fract_x
_atom_site_fract_y
_atom_site_fract_z
Na1 Na 0.000 0.000 0.000
Sr1 Sr 0.250 0.750 0.500
Sr2 Sr 0.750 0.250 0.500
Ir1 Ir 0.361 0.361 0.000
Ir2 Ir 0.639 0.639 0.000

> E_tot of number 4 (NaIr3Rh)?

-47.6211 eV per atom

> Look up the DOS at the Fermi energy of the third one.

3.84 states/eV per cell

> Among the records above, which one has the lowest E_tot?

NaIr3Rh